Below is HfPIO2 after structural relaxation, with properties calculated at the PBE level.

The density comes out at 6.25 g/cm3. The offset from the most stable computed form comes out at 1521 meV/atom. The calculation puts the total magnetization at 0.00 μB per cell.

It has space group P4/mmm (No. 123), with a = 3.9299 Å, b = 3.9299 Å, c = 6.3388 Å, α = 90.00°, β = 90.00° and γ = 90.00°. The distinct sites, in fractional coordinates, are Hf at (0.0000, 0.0000, 0.0000), P at (0.5000, 0.5000, 0.0000), I at (0.5000, 0.5000, 0.5000) and O at (0.0000, 0.5000, 0.5000).